Record 1
# Dy2ThGa6, optimized geometry, DFT PBE
# total magnetization	0.0000	μB per atom
# D(E_F)	0.78	states/eV/atom
# E	-4.29	eV/atom
# V	407.6	Å³/cell
# energy above the most stable polymorph in this dataset	1.911	eV per formula unit
# energy relative to the elements	-0.42	eV/atom
data_Dy2ThGa6
_chemical_formula_sum 'Dy4 Th2 Ga12'
_symmetry_space_group_name_H-M 'I m m m'
_symmetry_Int_Tables_number 71
_symmetry_space_group_name_Hall '-I 2 2'
_cell_length_a 4.288
_cell_length_b 7.107
_cell_length_c 13.374
_cell_angle_alpha 90.00
_cell_angle_beta 90.00
_cell_angle_gamma 90.00
loop_
_atom_site_label
_atom_site_type_symbol
_atom_site_fract_x
_atom_site_fract_y
_atom_site_fract_z
Dy1 Dy 0.000 0.000 0.129
Th1 Th 0.000 0.500 0.000
Ga1 Ga 0.000 0.190 0.320
Ga2 Ga 0.000 0.319 0.500

Record 2
# DyThGa4, optimized geometry, DFT PBE
# total magnetization	0.0000	μB per atom
# D(E_F)	0.30	states/eV/atom
# E	-4.66	eV/atom
# V	262.0	Å³/cell
# energy above the most stable polymorph in this dataset	0.000	eV per formula unit
# energy relative to the elements	-0.64	eV/atom
data_DyThGa4
_chemical_formula_sum 'Dy2 Th2 Ga8'
_symmetry_space_group_name_H-M 'I -4 m 2'
_symmetry_Int_Tables_number 119
_symmetry_space_group_name_Hall 'I -4 -2'
_cell_length_a 4.219
_cell_length_b 4.219
_cell_length_c 14.722
_cell_angle_alpha 90.00
_cell_angle_beta 90.00
_cell_angle_gamma 90.00
loop_
_atom_site_label
_atom_site_type_symbol
_atom_site_fract_x
_atom_site_fract_y
_atom_site_fract_z
Dy1 Dy 0.000 0.000 0.000
Th1 Th 0.000 0.500 0.750
Ga1 Ga 0.000 0.000 0.418
Ga2 Ga 0.000 0.500 0.166

Record 3
# DyTh2Ga6, optimized geometry, DFT PBE
# total magnetization	0.0000	μB per atom
# D(E_F)	0.22	states/eV/atom
# E	-4.82	eV/atom
# V	197.9	Å³/cell
# energy relative to the elements	-0.64	eV/atom
data_DyTh2Ga6
_chemical_formula_sum 'Dy1 Th2 Ga6'
_symmetry_space_group_name_H-M 'P 6/m m m'
_symmetry_Int_Tables_number 191
_symmetry_space_group_name_Hall '-P 6 2'
_cell_length_a 7.3719
_cell_length_b 7.3719
_cell_length_c 4.2047
_cell_angle_alpha 90.00
_cell_angle_beta 90.00
_cell_angle_gamma 120.00
loop_
_atom_site_label
_atom_site_type_symbol
_atom_site_fract_x
_atom_site_fract_y
_atom_site_fract_z
Dy1 Dy 0.0000 0.0000 0.0000
Th1 Th 0.3333 0.6667 0.0000
Ga1 Ga 0.0000 0.3317 0.5000

Record 4
# DyThGa6, optimized geometry, DFT PBE
# total magnetization	0.0000	μB per atom
# D(E_F)	0.36	states/eV/atom
# E	-4.30	eV/atom
# V	162.2	Å³/cell
# energy relative to the elements	-0.53	eV/atom
data_DyThGa6
_chemical_formula_sum 'Dy1 Th1 Ga6'
_symmetry_space_group_name_H-M 'P -6 m 2'
_symmetry_Int_Tables_number 187
_symmetry_space_group_name_Hall 'P -6 2'
_cell_length_a 6.3665
_cell_length_b 6.3665
_cell_length_c 4.6196
_cell_angle_alpha 90.00
_cell_angle_beta 90.00
_cell_angle_gamma 120.00
loop_
_atom_site_label
_atom_site_type_symbol
_atom_site_fract_x
_atom_site_fract_y
_atom_site_fract_z
Dy1 Dy 0.0000 0.0000 0.0000
Th1 Th 0.6667 0.3333 0.5000
Ga1 Ga 0.0478 0.5239 0.0000
Ga2 Ga 0.1859 0.3719 0.5000

Record 5
# Dy3ThGa3, optimized geometry, DFT PBE
# total magnetization	0.0000	μB per atom
# D(E_F)	0.90	states/eV/atom
# E	-4.72	eV/atom
# V	353.5	Å³/cell
# energy relative to the elements	-0.40	eV/atom
data_Dy3ThGa3
_chemical_formula_sum 'Dy6 Th2 Ga6'
_symmetry_space_group_name_H-M 'P 63/m'
_symmetry_Int_Tables_number 176
_symmetry_space_group_name_Hall '-P 6c'
_cell_length_a 9.2203
_cell_length_b 9.2203
_cell_length_c 4.8013
_cell_angle_alpha 90.00
_cell_angle_beta 90.00
_cell_angle_gamma 120.00
loop_
_atom_site_label
_atom_site_type_symbol
_atom_site_fract_x
_atom_site_fract_y
_atom_site_fract_z
Dy1 Dy 0.0186 0.7617 0.2500
Th1 Th 0.3333 0.6667 0.7500
Ga1 Ga 0.0642 0.4520 0.2500

Record 6
# DyThGa, optimized geometry, DFT PBE
# total magnetization	0.0000	μB per atom
# D(E_F)	1.11	states/eV/atom
# E	-5.29	eV/atom
# V	163.1	Å³/cell
# energy above the most stable polymorph in this dataset	0.000	eV per formula unit
# energy relative to the elements	-0.27	eV/atom
data_DyThGa
_chemical_formula_sum 'Dy2 Th2 Ga2'
_symmetry_space_group_name_H-M 'I 4 m m'
_symmetry_Int_Tables_number 107
_symmetry_space_group_name_Hall 'I 4 -2'
_cell_length_a 3.556
_cell_length_b 3.556
_cell_length_c 12.899
_cell_angle_alpha 90.00
_cell_angle_beta 90.00
_cell_angle_gamma 90.00
loop_
_atom_site_label
_atom_site_type_symbol
_atom_site_fract_x
_atom_site_fract_y
_atom_site_fract_z
Dy1 Dy 0.000 0.000 0.000
Th1 Th 0.000 0.000 0.706
Ga1 Ga 0.000 0.000 0.360

What did the sixth record say?
# DyThGa, optimized geometry, DFT PBE
# total magnetization	0.0000	μB per atom
# D(E_F)	1.11	states/eV/atom
# E	-5.29	eV/atom
# V	163.1	Å³/cell
# energy above the most stable polymorph in this dataset	0.000	eV per formula unit
# energy relative to the elements	-0.27	eV/atom
data_DyThGa
_chemical_formula_sum 'Dy2 Th2 Ga2'
_symmetry_space_group_name_H-M 'I 4 m m'
_symmetry_Int_Tables_number 107
_symmetry_space_group_name_Hall 'I 4 -2'
_cell_length_a 3.556
_cell_length_b 3.556
_cell_length_c 12.899
_cell_angle_alpha 90.00
_cell_angle_beta 90.00
_cell_angle_gamma 90.00
loop_
_atom_site_label
_atom_site_type_symbol
_atom_site_fract_x
_atom_site_fract_y
_atom_site_fract_z
Dy1 Dy 0.000 0.000 0.000
Th1 Th 0.000 0.000 0.706
Ga1 Ga 0.000 0.000 0.360